VASP calculation (PBE-GGA) on a geometry-optimized KGe2SbSe6 structure.

a b c (Å): 7.338 9.779 9.779
angles (deg): 77.77 67.02 67.02
Fractional coordinates of all 20 atoms:
1 K 0.250 0.687 0.313
2 K 0.750 0.313 0.687
3 Ge 0.358 0.817 0.631
4 Ge 0.142 0.369 0.183
5 Ge 0.642 0.183 0.369
6 Ge 0.858 0.631 0.817
7 Sb 0.250 0.215 0.785
8 Sb 0.750 0.785 0.215
9 Se 0.127 0.977 0.833
10 Se 0.373 0.167 0.023
11 Se 0.873 0.023 0.167
12 Se 0.627 0.833 0.977
13 Se 0.335 0.946 0.403
14 Se 0.165 0.597 0.054
15 Se 0.665 0.054 0.597
16 Se 0.835 0.403 0.946
17 Se 0.228 0.603 0.670
18 Se 0.272 0.330 0.397
19 Se 0.772 0.397 0.330
20 Se 0.728 0.670 0.603

Summary:
The value obtained for the uncorrected formation energy is -0.367 eV/atom.